[1]
Material: TbGd2Ga3CoGe2
Method: DFT, PBE
State: relaxed

a b c (Å): 4.158 6.993 6.993
angles (deg): 119.98 90.00 90.00
Atoms (fractional coordinates):
Tb (0.000, 0.000, 0.000)
Gd (0.000, 0.202, 0.601)
Gd (0.000, 0.601, 0.202)
Ga (0.500, 0.372, 0.372)
Ga (0.500, 0.601, 0.829)
Ga (0.500, 0.829, 0.601)
Co (0.000, 0.601, 0.601)
Ge (0.500, 0.267, 0.934)
Ge (0.500, 0.934, 0.267)

Values from the calculation:
Uncorrected energy   -5.08 eV/atom

---

[2]
Material: GdHoGaCo2
Method: DFT, PBE
State: relaxed

a b c (Å): 3.902 6.788 6.788
angles (deg): 32.24 90.00 90.00
Atoms (fractional coordinates):
Gd (0.000, 0.000, 0.000)
Ho (0.000, 0.734, 0.734)
Ga (0.500, 0.366, 0.366)
Co (0.500, 0.168, 0.168)
Co (0.500, 0.569, 0.569)

Values from the calculation:
Uncorrected energy   -5.65 eV/atom

---

[3]
Material: NdGdGa4Co2
Method: DFT, PBE
State: relaxed

a b c (Å): 4.075 9.103 9.103
angles (deg): 26.24 90.00 90.00
Atoms (fractional coordinates):
Nd (0.000, 0.000, 0.000)
Gd (0.000, 0.715, 0.715)
Ga (0.000, 0.356, 0.356)
Ga (0.500, 0.150, 0.150)
Ga (0.500, 0.566, 0.566)
Ga (0.500, 0.856, 0.856)
Co (0.500, 0.284, 0.284)
Co (0.500, 0.430, 0.430)

Values from the calculation:
Uncorrected energy   -5.00 eV/atom

---

[4]
Material: Gd3GaCoSe7
Method: DFT, PBE
State: relaxed

a b c (Å): 10.031 10.031 6.511
angles (deg): 90.00 90.00 120.00
Atoms (fractional coordinates):
Gd (0.159, 0.786, 0.000)
Gd (0.214, 0.373, 0.000)
Gd (0.373, 0.159, 0.500)
Gd (0.627, 0.841, 0.000)
Gd (0.786, 0.627, 0.500)
Gd (0.841, 0.214, 0.500)
Ga (0.333, 0.667, 0.578)
Ga (0.667, 0.333, 0.078)
Co (0.000, 0.000, 0.158)
Co (0.000, 0.000, 0.658)
Se (0.081, 0.520, 0.731)
Se (0.098, 0.873, 0.405)
Se (0.127, 0.225, 0.405)
Se (0.225, 0.098, 0.905)
Se (0.333, 0.667, 0.208)
Se (0.438, 0.919, 0.731)
Se (0.480, 0.562, 0.731)
Se (0.520, 0.438, 0.231)
Se (0.562, 0.081, 0.231)
Se (0.667, 0.333, 0.708)
Se (0.775, 0.902, 0.405)
Se (0.873, 0.775, 0.905)
Se (0.902, 0.127, 0.905)
Se (0.919, 0.480, 0.231)

Values from the calculation:
Uncorrected energy   -5.33 eV/atom

---

[5]
Material: SmGdGaCo2
Method: DFT, PBE
State: relaxed

a b c (Å): 3.949 6.877 6.877
angles (deg): 32.09 90.00 90.00
Atoms (fractional coordinates):
Sm (0.000, 0.000, 0.000)
Gd (0.000, 0.262, 0.262)
Ga (0.500, 0.632, 0.632)
Co (0.500, 0.427, 0.427)
Co (0.500, 0.832, 0.832)

Values from the calculation:
Uncorrected energy   -5.64 eV/atom

---

[6]
Material: GdYGa4Co2
Method: DFT, PBE
State: relaxed

a b c (Å): 3.986 9.091 9.091
angles (deg): 25.95 90.00 90.00
Atoms (fractional coordinates):
Gd (0.000, 0.000, 0.000)
Y (0.000, 0.713, 0.713)
Ga (0.000, 0.357, 0.357)
Ga (0.500, 0.148, 0.148)
Ga (0.500, 0.565, 0.565)
Ga (0.500, 0.856, 0.856)
Co (0.500, 0.282, 0.282)
Co (0.500, 0.431, 0.431)

Values from the calculation:
Uncorrected energy   -5.23 eV/atom

---

[7]
Material: GdYGaCo2
Method: DFT, PBE
State: relaxed

a b c (Å): 3.887 6.857 6.857
angles (deg): 32.03 90.00 90.00
Atoms (fractional coordinates):
Gd (0.000, 0.000, 0.000)
Y (0.000, 0.737, 0.737)
Ga (0.500, 0.367, 0.367)
Co (0.500, 0.166, 0.166)
Co (0.500, 0.570, 0.570)

Values from the calculation:
Uncorrected energy   -6.02 eV/atom

---

[8]
Material: GaCoGe2
Method: DFT, PBE
State: relaxed

a b c (Å): 4.431 4.431 4.431
angles (deg): 60.00 60.00 60.00
Atoms (fractional coordinates):
Ga (0.000, 0.000, 0.000)
Co (0.250, 0.250, 0.250)
Ge (0.500, 0.500, 0.500)
Ge (0.750, 0.750, 0.750)

Values from the calculation:
Uncorrected energy   -4.53 eV/atom